# 1
Dy2BeN after structural relaxation. Source: the Alexandria database, functional GGA-PBE.

Total magnetic moment in μB per formula unit: 0.15
E_tot in eV for the cell shown: -21.86
Raw formation energy in eV per atom: -0.1507
N(E_F) in states/eV per atom: 1.068

a b c (Å): 3.419 3.419 8.652
angles (deg): 78.61 78.61 60.00
Site moments in Bohr magnetons follow the coordinates.
Positions (direct):
Be 0.000 0.000 0.000  0.00
Dy 0.885 0.885 0.344  0.06
Dy 0.115 0.115 0.656  0.06
N 0.500 0.500 0.500  0.00

# 2
NdDyBeN2 after structural relaxation. Source: the Alexandria database, functional GGA-PBE.

Total magnetic moment in μB per formula unit: 0.00
E_tot in eV for the cell shown: -68.19
Raw formation energy in eV per atom: -0.8701
N(E_F) in states/eV per atom: 0.573

a b c (Å): 4.997 5.207 6.602
angles (deg): 90.01 90.00 90.00
Positions (direct):
Nd 0.000 0.500 0.250
Nd 0.000 0.500 0.750
Dy 0.500 0.000 0.750
Dy 0.500 0.000 0.250
N 0.232 0.795 0.500
N 0.768 0.205 0.500
N 0.232 0.205 0.000
N 0.768 0.795 0.000
Be 0.000 0.000 0.500
Be 0.000 0.000 0.000

# 3
DyPaBeN3 after structural relaxation. Source: the Alexandria database, functional GGA-PBE.

Total magnetic moment in μB per formula unit: 0.07
E_tot in eV for the cell shown: -102.39
Raw formation energy in eV per atom: -1.3989
N(E_F) in states/eV per atom: 0.390

a b c (Å): 3.304 7.111 6.799
angles (deg): 97.48 90.00 90.00
Site moments in Bohr magnetons follow the coordinates.
Positions (direct):
N 0.750 0.885 0.154  0.00
N 0.750 0.404 0.136  0.00
N 0.750 0.158 0.501  0.00
N 0.250 0.596 0.864  0.00
N 0.250 0.842 0.499  0.00
N 0.250 0.115 0.846  0.00
Dy 0.750 0.841 0.803  0.00
Dy 0.250 0.159 0.197  0.00
Pa 0.250 0.651 0.197  0.06
Pa 0.750 0.349 0.803  0.06
Be 0.250 0.074 0.593  0.00
Be 0.750 0.926 0.407  0.00

# 4
PrDyBeN2 after structural relaxation. Source: the Alexandria database, functional GGA-PBE.

Total magnetic moment in μB per formula unit: 0.00
E_tot in eV for the cell shown: -68.11
Raw formation energy in eV per atom: -0.8589
N(E_F) in states/eV per atom: 0.558

a b c (Å): 5.006 5.252 6.630
angles (deg): 90.01 90.00 90.00
Positions (direct):
Pr 0.000 0.500 0.750
Pr 0.000 0.500 0.250
Dy 0.500 0.000 0.250
Dy 0.500 0.000 0.750
N 0.233 0.201 0.000
N 0.767 0.201 0.500
N 0.767 0.799 0.000
N 0.233 0.799 0.500
Be 0.000 0.000 0.000
Be 0.000 0.000 0.500

# 5
DyTiBeN3 after structural relaxation. Source: the Alexandria database, functional GGA-PBE.

Total magnetic moment in μB per formula unit: 0.00
E_tot in eV for the cell shown: -99.15
Raw formation energy in eV per atom: -1.3959
N(E_F) in states/eV per atom: 0.015

a b c (Å): 3.085 6.514 6.688
angles (deg): 104.41 90.00 90.00
Positions (direct):
Ti 0.750 0.335 0.843
Ti 0.250 0.665 0.157
N 0.250 0.123 0.858
N 0.750 0.443 0.160
N 0.250 0.818 0.480
N 0.250 0.557 0.840
N 0.750 0.877 0.142
N 0.750 0.182 0.520
Be 0.250 0.090 0.598
Be 0.750 0.910 0.402
Dy 0.750 0.805 0.772
Dy 0.250 0.195 0.228

# 6
Dy2BeWN5 after structural relaxation. Source: the Alexandria database, functional GGA-PBE.

Total magnetic moment in μB per formula unit: 0.00
E_tot in eV for the cell shown: -151.26
Raw formation energy in eV per atom: -0.9021
N(E_F) in states/eV per atom: 0.288

a b c (Å): 3.123 7.085 9.504
angles (deg): 90.00 90.00 102.73
Positions (direct):
Dy 0.880 0.760 0.820
Dy 0.112 0.224 0.700
Dy 0.120 0.240 0.320
Dy 0.888 0.776 0.200
N 0.955 0.910 0.513
N 0.697 0.393 0.869
N 0.346 0.692 0.014
N 0.500 0.000 0.784
N 0.500 0.000 0.284
N 0.697 0.395 0.153
N 0.303 0.607 0.369
N 0.045 0.090 0.013
N 0.654 0.308 0.514
N 0.303 0.605 0.653
Be 0.534 0.067 0.958
Be 0.466 0.933 0.458
W 0.792 0.583 0.512
W 0.208 0.417 0.012

# 7
DyZrBeN3 after structural relaxation. Source: the Alexandria database, functional GGA-PBE.

Total magnetic moment in μB per formula unit: 0.00
E_tot in eV for the cell shown: -100.77
Raw formation energy in eV per atom: -1.4223
N(E_F) in states/eV per atom: 0.019

a b c (Å): 3.211 6.827 6.749
angles (deg): 101.18 90.00 90.00
Positions (direct):
N 0.250 0.832 0.491
N 0.750 0.168 0.509
N 0.750 0.426 0.165
N 0.750 0.879 0.146
N 0.250 0.574 0.835
N 0.250 0.121 0.854
Zr 0.750 0.343 0.823
Zr 0.250 0.657 0.177
Dy 0.750 0.823 0.786
Dy 0.250 0.177 0.214
Be 0.250 0.080 0.596
Be 0.750 0.920 0.404

# 8
DyZr2BeN4 after structural relaxation. Source: the Alexandria database, functional GGA-PBE.

Total magnetic moment in μB per formula unit: 0.00
E_tot in eV for the cell shown: -141.88
Raw formation energy in eV per atom: -1.5271
N(E_F) in states/eV per atom: 0.156

a b c (Å): 3.221 5.616 10.843
angles (deg): 90.00 90.00 106.67
Positions (direct):
N 0.730 0.460 0.626
N 0.730 0.460 0.874
N 0.000 0.000 0.000
N 0.426 0.852 0.750
N 0.270 0.540 0.126
N 0.270 0.540 0.374
N 0.000 0.000 0.500
N 0.574 0.148 0.250
Zr 0.370 0.739 0.552
Zr 0.630 0.261 0.448
Zr 0.630 0.261 0.052
Zr 0.370 0.739 0.948
Be 0.828 0.655 0.750
Be 0.172 0.345 0.250
Dy 0.896 0.791 0.250
Dy 0.104 0.209 0.750

# 9
DyBeNb after structural relaxation. Source: the Alexandria database, functional GGA-PBE.

Total magnetic moment in μB per formula unit: 0.00
E_tot in eV for the cell shown: -35.55
N(E_F) in states/eV per atom: 1.225

a b c (Å): 4.806 3.402 9.958
angles (deg): 90.00 90.00 134.94
Positions (direct):
Dy 0.694 0.389 0.673
Dy 0.694 0.389 0.327
Nb 0.194 0.389 0.119
Nb 0.194 0.389 0.881
Be 0.195 0.389 0.500
Be 0.694 0.389 0.000

# 10
NdDyBe2Pd5 after structural relaxation. Source: the Alexandria database, functional GGA-PBE.

Total magnetic moment in μB per formula unit: 0.00
E_tot in eV for the cell shown: -49.00
N(E_F) in states/eV per atom: 0.356

a b c (Å): 4.080 4.080 9.086
angles (deg): 90.00 90.00 90.00
Positions (direct):
Pd 0.500 0.000 0.252
Pd 0.000 0.500 0.748
Pd 0.500 0.000 0.748
Pd 0.500 0.500 0.500
Pd 0.000 0.500 0.252
Be 0.500 0.500 0.869
Be 0.500 0.500 0.131
Nd 0.000 0.000 0.500
Dy 0.000 0.000 0.000

# 11
DyBeNi4 after structural relaxation. Source: the Alexandria database, functional GGA-PBE.

Total magnetic moment in μB per formula unit: 0.01
E_tot in eV for the cell shown: -32.82
N(E_F) in states/eV per atom: 1.448

a b c (Å): 4.824 4.824 4.824
angles (deg): 60.00 60.00 60.00
Positions (direct):
Be 0.000 0.000 0.000
Ni 0.626 0.626 0.121
Ni 0.626 0.121 0.626
Ni 0.626 0.626 0.626
Ni 0.121 0.626 0.626
Dy 0.250 0.250 0.250

# 12
Dy4BeNi3 after structural relaxation. Source: the Alexandria database, functional GGA-PBE.

Total magnetic moment in μB per formula unit: 0.00
E_tot in eV for the cell shown: -42.19
N(E_F) in states/eV per atom: 0.597

a b c (Å): 3.754 4.178 10.256
angles (deg): 90.00 90.00 90.00
Positions (direct):
Dy 0.500 0.000 0.637
Dy 0.000 0.000 0.141
Dy 0.000 0.500 0.856
Dy 0.500 0.500 0.363
Ni 0.500 0.000 0.943
Ni 0.000 0.000 0.429
Ni 0.000 0.500 0.574
Be 0.500 0.500 0.058

# 13
Dy2Be4Ni5 after structural relaxation. Source: the Alexandria database, functional GGA-PBE.

Total magnetic moment in μB per formula unit: 0.00
E_tot in eV for the cell shown: -57.42
N(E_F) in states/eV per atom: 0.332

a b c (Å): 5.109 5.011 6.986
angles (deg): 79.26 68.55 59.35
Positions (direct):
Dy 0.134 0.000 0.732
Dy 0.866 0.000 0.268
Ni 0.750 0.500 0.500
Ni 0.500 0.500 0.000
Ni 0.000 0.500 0.000
Ni 0.500 0.000 0.000
Ni 0.250 0.500 0.500
Be 0.529 0.684 0.257
Be 0.214 0.316 0.257
Be 0.471 0.316 0.743
Be 0.786 0.684 0.743

# 14
DyBeNi2 after structural relaxation. Source: the Alexandria database, functional GGA-PBE.

Total magnetic moment in μB per formula unit: 0.00
E_tot in eV for the cell shown: -20.04
N(E_F) in states/eV per atom: 0.660

a b c (Å): 3.558 5.160 4.184
angles (deg): 128.07 90.00 90.00
Positions (direct):
Dy 0.500 0.500 0.000
Be 0.500 0.000 0.000
Ni 0.999 0.820 0.640
Ni 0.001 0.180 0.360

# 15
Dy2Be15Ni2 after structural relaxation. Source: the Alexandria database, functional GGA-PBE.

Total magnetic moment in μB per formula unit: 0.00
E_tot in eV for the cell shown: -80.54
N(E_F) in states/eV per atom: 0.421

a b c (Å): 5.883 5.883 5.883
angles (deg): 82.89 82.89 82.89
Positions (direct):
Be 0.334 0.848 0.334
Be 0.000 0.726 0.274
Be 0.000 0.500 0.000
Be 0.726 0.000 0.274
Be 0.000 0.000 0.500
Be 0.500 0.000 0.000
Be 0.666 0.152 0.666
Be 0.000 0.274 0.726
Be 0.726 0.274 0.000
Be 0.152 0.666 0.666
Be 0.334 0.334 0.848
Be 0.274 0.726 0.000
Be 0.666 0.666 0.152
Be 0.848 0.334 0.334
Be 0.274 0.000 0.726
Dy 0.658 0.658 0.658
Dy 0.342 0.342 0.342
Ni 0.104 0.104 0.104
Ni 0.896 0.896 0.896

# 16
DyBe2Ni3 after structural relaxation. Source: the Alexandria database, functional GGA-PBE.

Total magnetic moment in μB per formula unit: 0.00
E_tot in eV for the cell shown: -32.29
N(E_F) in states/eV per atom: 0.276

a b c (Å): 5.016 5.016 3.411
angles (deg): 90.00 90.00 120.00
Positions (direct):
Be 0.333 0.667 0.000
Be 0.667 0.333 0.000
Ni 0.500 0.000 0.500
Ni 0.000 0.500 0.500
Ni 0.500 0.500 0.500
Dy 0.000 0.000 0.000

# 17
DyBe2Ni5 after structural relaxation. Source: the Alexandria database, functional GGA-PBE.

Total magnetic moment in μB per formula unit: 0.00
E_tot in eV for the cell shown: -43.63
N(E_F) in states/eV per atom: 0.466

a b c (Å): 3.547 5.668 5.668
angles (deg): 66.36 71.76 71.76
Positions (direct):
Be 0.235 0.265 0.265
Be 0.765 0.735 0.735
Ni 0.000 0.500 0.500
Ni 0.349 0.458 0.843
Ni 0.651 0.157 0.542
Ni 0.349 0.843 0.458
Ni 0.651 0.542 0.157
Dy 0.000 0.000 0.000

# 18
DyBeNi6 after structural relaxation. Source: the Alexandria database, functional GGA-PBE.

Total magnetic moment in μB per formula unit: 1.45
E_tot in eV for the cell shown: -43.91
N(E_F) in states/eV per atom: 1.265

a b c (Å): 3.703 3.703 7.638
angles (deg): 90.00 90.00 90.00
Site moments in Bohr magnetons follow the coordinates.
Positions (direct):
Ni 0.500 0.500 0.150  0.27
Ni 0.000 0.500 0.659  0.27
Ni 0.500 0.000 0.341  0.27
Ni 0.000 0.500 0.341  0.27
Ni 0.500 0.000 0.659  0.27
Ni 0.500 0.500 0.850  0.27
Dy 0.000 0.000 0.000  -0.05
Be 0.000 0.000 0.500  -0.02

# 19
DyBeNi after structural relaxation. Source: the Alexandria database, functional GGA-PBE.

Total magnetic moment in μB per formula unit: 0.00
E_tot in eV for the cell shown: -14.95
N(E_F) in states/eV per atom: 0.772

a b c (Å): 3.790 3.886 3.886
angles (deg): 120.00 90.00 90.00
Positions (direct):
Be 0.167 0.667 0.333
Ni 0.167 0.000 0.000
Dy 0.667 0.333 0.667

# 20
DyBe2Ni after structural relaxation. Source: the Alexandria database, functional GGA-PBE.

Total magnetic moment in μB per formula unit: 0.00
E_tot in eV for the cell shown: -18.88
N(E_F) in states/eV per atom: 0.769

a b c (Å): 3.760 3.760 5.249
angles (deg): 69.02 69.02 60.00
Positions (direct):
Be 0.808 0.808 0.577
Be 0.192 0.192 0.423
Ni 0.500 0.500 0.500
Dy 0.000 0.000 0.000

# 21
DyBe4Ni4 after structural relaxation. Source: the Alexandria database, functional GGA-PBE.

Total magnetic moment in μB per formula unit: 0.00
E_tot in eV for the cell shown: -90.10
N(E_F) in states/eV per atom: 0.481

a b c (Å): 4.097 7.253 7.253
angles (deg): 90.00 90.00 90.00
Positions (direct):
Be 0.077 0.799 0.657
Be 0.077 0.201 0.343
Be 0.423 0.299 0.157
Be 0.923 0.343 0.799
Be 0.923 0.657 0.201
Be 0.577 0.157 0.701
Be 0.577 0.843 0.299
Be 0.423 0.701 0.843
Dy 0.500 0.500 0.500
Dy 0.000 0.000 0.000
Ni 0.088 0.121 0.623
Ni 0.588 0.123 0.379
Ni 0.912 0.623 0.879
Ni 0.588 0.877 0.621
Ni 0.912 0.377 0.121
Ni 0.412 0.379 0.877
Ni 0.412 0.621 0.123
Ni 0.088 0.879 0.377

# 22
DyBe2Ni6 after structural relaxation. Source: the Alexandria database, functional GGA-PBE.

Total magnetic moment in μB per formula unit: 0.00
E_tot in eV for the cell shown: -90.20
N(E_F) in states/eV per atom: 0.618

a b c (Å): 7.041 7.041 7.041
angles (deg): 60.00 60.00 60.00
Positions (direct):
Ni 0.016 0.484 0.016
Ni 0.484 0.016 0.484
Ni 0.484 0.016 0.016
Ni 0.234 0.766 0.234
Ni 0.766 0.234 0.234
Ni 0.766 0.234 0.766
Ni 0.234 0.766 0.766
Ni 0.766 0.766 0.234
Ni 0.484 0.484 0.016
Ni 0.016 0.484 0.484
Ni 0.234 0.234 0.766
Ni 0.016 0.016 0.484
Be 0.125 0.625 0.125
Be 0.125 0.125 0.125
Be 0.125 0.125 0.625
Be 0.625 0.125 0.125
Dy 0.750 0.750 0.750
Dy 0.500 0.500 0.500